# 1
Ac3Pm8Nd2: optimized geometry, GGA-PBE.

Computed properties:
E_form = 261 meV/atom

Cell lengths 21.0802, 8.1272, 5.8345 Å; angles 90.00, 90.17, 90.00 degrees
Closest atoms and distances in Å follow each position.
Space group C2/m (No. 12)
Unique sites:
Ac (0.0000, 0.0000, 0.0000) (multiplicity 2)  4 Pm 3.39, 4 Ac 3.74
Ac (0.0000, 0.2878, 0.5000) (multiplicity 4)  3 Ac 3.45-3.74, 6 Pm 3.70-3.76
Pm (0.1125, 0.2984, 0.0012) (multiplicity 8)  3 Pm 3.28-3.62, 1 Ac 3.39, 2 Nd 3.52-3.62
Pm (0.1357, 0.0000, 0.4983) (multiplicity 4)  2 Nd 3.63-3.67, 2 Ac 3.70, 5 Pm 3.81-3.96
Pm (0.1766, 0.5000, 0.5035) (multiplicity 4)  2 Nd 3.41, 4 Pm 3.60-3.62
Nd (0.2398, 0.0000, 0.9955) (multiplicity 4)  8 Pm 3.41-3.67

=====

# 2
PrIn2Bi2: optimized geometry, GGA-PBE.

Computed properties:
E_form = -375 meV/atom

Cell lengths 4.6879, 28.1421, 4.5922 Å; angles 90.00, 90.00, 90.00 degrees
Closest atoms and distances in Å follow each position.
Space group Cmcm (No. 63)
Unique sites:
Pr (0.0000, 0.1579, 0.2500) (multiplicity 4)  8 Bi 3.34-3.49
In (0.0000, 0.0457, 0.7500) (multiplicity 4)  8 In 3.28-3.50, 2 Bi 3.44
In (0.0000, 0.4533, 0.7500) (multiplicity 4)  8 In 3.28-3.50, 2 Bi 3.39
Bi (0.0000, 0.2503, 0.7500) (multiplicity 4)  4 Bi 3.28, 4 Pr 3.47-3.49
Bi (0.0000, 0.3647, 0.2500) (multiplicity 4)  4 Pr 3.34, 4 In 3.39-3.44

=====

# 3
MnRe3: optimized geometry, GGA-PBE.

Computed properties:
E_form = 74 meV/atom

Cell lengths 3.8469, 3.8469, 3.8469 Å; angles 90.00, 90.00, 90.00 degrees
Closest atoms and distances in Å follow each position.
Space group Pm-3m (No. 221)
Unique sites:
Mn (0.0000, 0.0000, 0.0000) (multiplicity 1)  12 Re 2.72
Re (0.0000, 0.5000, 0.5000) (multiplicity 3)  4 Mn 2.72, 8 Re 2.72

=====

# 4
K5Sc2O5: optimized geometry, GGA-PBE.

Computed properties:
formation energy without anion corrections = -1.995 eV/atom

Cell lengths 15.2682, 3.6071, 9.7190 Å; angles 90.00, 100.45, 90.00 degrees
Closest atoms and distances in Å follow each position.
Space group C2/m (No. 12)
Unique sites:
K (0.0000, 0.0000, 0.0000) (multiplicity 2)  6 O 2.85-2.96
K (0.1242, 0.0000, 0.4692) (multiplicity 4)  3 O 2.67-2.96
K (0.2077, 0.0000, 0.1805) (multiplicity 4)  2 O 2.77
Sc (0.0351, 0.5000, 0.7138) (multiplicity 4)  4 O 1.94-2.06
O (0.0000, 0.5000, 0.5000) (multiplicity 2)  2 Sc 2.05
O (0.0758, 0.5000, 0.2154) (multiplicity 4)  1 Sc 1.94
O (0.0986, 0.0000, 0.7641) (multiplicity 4)  2 Sc 2.06

=====

# 5
CrMo2Au: optimized geometry, GGA-PBE.

Computed properties:
relative energy among the computed polymorphs = 0.1818 eV per atom
E_form = 395 meV/atom

Cell lengths 9.3846, 2.6547, 5.0013 Å; angles 90.00, 98.20, 90.00 degrees
Closest atoms and distances in Å follow each position.
Space group C2/m (No. 12)
Unique sites:
Cr (0.0000, 0.0000, 0.0000) (multiplicity 2)  2 Cr 2.65, 6 Mo 2.80-2.81, 4 Au 2.83
Mo (0.2480, 0.5000, 0.2435) (multiplicity 4)  6 Mo 2.65-2.88, 3 Cr 2.80-2.81, 3 Au 2.81-2.85
Au (0.0000, 0.5000, 0.5000) (multiplicity 2)  2 Au 2.65, 6 Mo 2.81-2.85, 4 Cr 2.83

=====

# 6
Ac3PuTl3S8: optimized geometry, GGA-PBE.

Computed properties:
formation energy without anion corrections = -1.464 eV/atom

Cell lengths 8.7063, 8.7063, 22.3828 Å; angles 90.00, 90.00, 120.00 degrees
Closest atoms and distances in Å follow each position.
Space group R-3m (No. 166, hexagonal axes)
Unique sites:
Ac (0.0000, 0.5000, 0.0000) (multiplicity 9)  6 S 2.97-3.01
Pu (0.0000, 0.0000, 0.0000) (multiplicity 3)  6 S 2.73
Tl (0.0000, 0.5000, 0.5000) (multiplicity 9)  6 S 3.31
S (0.0000, 0.0000, 0.2629) (multiplicity 6)  3 Ac 2.97, 3 Tl 3.31
S (0.0282, 0.5141, 0.7320) (multiplicity 18)  1 Pu 2.73, 2 Ac 3.01

=====

# 7
CoSi2Rh: optimized geometry, GGA-PBE.

Computed properties:
relative energy among the computed polymorphs = 0.3882 eV per atom
formation energy without anion corrections = -0.198 eV/atom

Cell lengths 3.8258, 3.8258, 15.2360 Å; angles 90.00, 90.00, 90.00 degrees
Closest atoms and distances in Å follow each position.
Space group I-42d (No. 122)
Unique sites:
Co (0.0000, 0.0000, 0.0000) (multiplicity 4)  4 Si 2.28
Si (0.2150, 0.2500, 0.1250) (multiplicity 8)  2 Co 2.28, 2 Rh 2.39, 2 Si 2.52
Rh (0.0000, 0.0000, 0.5000) (multiplicity 4)  4 Si 2.39

=====

# 8
Ta2Ni2P: optimized geometry, GGA-PBE.

Computed properties:
relative energy among the computed polymorphs = 0.0000 eV per atom
E_form = -248 meV/atom

Cell lengths 5.8381, 5.8381, 4.1049 Å; angles 90.00, 90.00, 90.00 degrees
Closest atoms and distances in Å follow each position.
Space group P4/mbm (No. 127)
Unique sites:
Ta (0.1743, 0.3257, 0.0000) (multiplicity 4)  6 Ni 2.54-2.78
Ni (0.1444, 0.6444, 0.5000) (multiplicity 4)  2 P 2.24, 1 Ni 2.38
P (0.0000, 0.0000, 0.5000) (multiplicity 2)  4 Ni 2.24

=====

# 9
Ta2AlAg: optimized geometry, GGA-PBE.

Computed properties:
relative energy among the computed polymorphs = 0.1177 eV per atom
E_form = 110 meV/atom

Cell lengths 2.9044, 2.9044, 29.0175 Å; angles 90.00, 90.00, 120.00 degrees
Closest atoms and distances in Å follow each position.
Space group R3m (No. 160, hexagonal axes)
Unique sites:
Ta (0.0000, 0.0000, 0.0000) (multiplicity 3)  9 Ta 2.90-3.06, 3 Ag 3.02
Ta (0.0000, 0.0000, 0.2450) (multiplicity 3)  3 Al 2.87, 9 Ta 2.90-3.06
Al (0.0000, 0.0000, 0.4982) (multiplicity 3)  3 Ag 2.82, 3 Ta 2.87, 6 Al 2.90
Ag (0.0000, 0.0000, 0.7532) (multiplicity 3)  3 Al 2.82, 6 Ag 2.90, 3 Ta 3.02

=====

# 10
KSc2Te: optimized geometry, GGA-PBE.

Computed properties:
formation energy without anion corrections = -0.164 eV/atom

Cell lengths 3.8807, 3.8807, 31.2047 Å; angles 90.00, 90.00, 120.00 degrees
Closest atoms and distances in Å follow each position.
Space group R-3m (No. 166, hexagonal axes)
Unique sites:
K (0.0000, 0.0000, 0.0000) (multiplicity 3)  6 K 3.88, 6 Sc 4.08
Sc (0.0000, 0.0000, 0.2240) (multiplicity 6)  3 Te 2.87
Te (0.0000, 0.0000, 0.5000) (multiplicity 3)  6 Sc 2.87

=====

# 11
Pr2Er3Tl2: optimized geometry, GGA-PBE.

Computed properties:
E_form = -162 meV/atom

Cell lengths 12.1048, 4.6398, 8.4432 Å; angles 90.00, 110.82, 90.00 degrees
Closest atoms and distances in Å follow each position.
Space group C2/m (No. 12)
Unique sites:
Pr (0.1333, 0.0000, 0.2858) (multiplicity 4)  4 Tl 3.34-3.66, 4 Er 3.65-3.69
Er (0.0000, 0.5000, 0.5000) (multiplicity 2)  4 Tl 3.16, 2 Er 3.50
Er (0.1266, 0.5000, 0.9422) (multiplicity 4)  3 Tl 3.13-3.21, 1 Er 3.50
Tl (0.1666, 0.0000, 0.7062) (multiplicity 4)  5 Er 3.13-3.21, 3 Pr 3.34-3.43

=====

# 12
SbAs2Au: optimized geometry, GGA-PBE.

Computed properties:
formation energy without anion corrections = 0.343 eV/atom

Cell lengths 3.5990, 4.7801, 4.8785 Å; angles 90.00, 90.00, 90.00 degrees
Closest atoms and distances in Å follow each position.
Space group Pmmm (No. 47)
Unique sites:
Sb (0.0000, 0.0000, 0.0000) (multiplicity 1)  4 Au 2.99, 4 As 3.03
As (0.0000, 0.5000, 0.5000) (multiplicity 1)  4 As 2.99, 4 Au 3.03
As (0.5000, 0.0000, 0.5000) (multiplicity 1)  4 As 2.99, 4 Sb 3.03
Au (0.5000, 0.5000, 0.0000) (multiplicity 1)  4 Sb 2.99, 4 As 3.03